Record 1
A plane-wave DFT calculation with PBE-GGA was carried out for crystalline Cd2BiPbO6 at its relaxed geometry.

a = 5.8100 Å, b = 5.8100 Å, c = 15.1836 Å
α = 90.00°, β = 90.00°, γ = 120.00°
With the nearest neighbours (Å) after each atom.
Space group R3 (No. 146, hexagonal axes)
Asymmetric unit:
Cd 0.0000 0.0000 0.0000 x3  6 O 2.27-2.49
Cd 0.0000 0.0000 0.4998 x3  6 O 2.27-2.49
Bi 0.0000 0.0000 0.7815 x3  6 O 2.21-2.29
Pb 0.0000 0.0000 0.2807 x3  6 O 2.21-2.30
O 0.0235 0.3063 0.3811 x9  1 Bi 2.21, 1 Cd 2.27, 1 Pb 2.30
O 0.0229 0.7171 0.8813 x9  1 Pb 2.21, 1 Cd 2.28, 1 Bi 2.29

Output
Electronic total energy, eV per atom: -4.90
Total magnetic moment, μB/f.u.: 0.00
Calculated density, g/cm³: 8.27
Crystal system: trigonal

Record 2
A plane-wave DFT calculation with PBE-GGA was carried out for crystalline AlSClF2 at its relaxed geometry.

a = 3.8955 Å, b = 3.8955 Å, c = 5.6699 Å
α = 90.00°, β = 90.00°, γ = 90.00°
With the nearest neighbours (Å) after each atom.
Space group P4/mmm (No. 123)
Asymmetric unit:
Al 0.0000 0.0000 0.0000 x1  4 S 2.75, 2 Cl 2.83
S 0.5000 0.5000 0.0000 x1  4 Al 2.75
Cl 0.0000 0.0000 0.5000 x1  4 F 1.95
F 0.0000 0.5000 0.5000 x2  2 Cl 1.95

Output
Electronic total energy, eV per atom: -2.90
Total magnetic moment, μB/f.u.: 0.00
Calculated density, g/cm³: 2.56
Crystal system: tetragonal

Record 3
A plane-wave DFT calculation with PBE-GGA was carried out for crystalline BeSi3Ir at its relaxed geometry.

a = 4.1565 Å, b = 4.1565 Å, c = 4.1565 Å
α = 90.00°, β = 90.00°, γ = 90.00°
With the nearest neighbours (Å) after each atom.
Space group Pm-3m (No. 221)
Asymmetric unit:
Be 0.0000 0.0000 0.0000 x1  6 Si 2.08
Si 0.0000 0.0000 0.5000 x3  2 Be 2.08
Ir 0.5000 0.5000 0.5000 x1  12 Si 2.94

Output
Electronic total energy, eV per atom: -4.98
Total magnetic moment, μB/f.u.: 0.00
Calculated density, g/cm³: 6.60
Crystal system: cubic

Record 4
A plane-wave DFT calculation with PBE-GGA was carried out for crystalline TlOsF5 at its relaxed geometry.

a = 9.8314 Å, b = 7.7151 Å, c = 7.8434 Å
α = 90.00°, β = 110.24°, γ = 90.00°
With the nearest neighbours (Å) after each atom.
Space group C2/c (No. 15)
Asymmetric unit:
Tl 0.0000 0.0216 0.2500 x4  6 F 2.73-2.93
Os 0.0000 0.5000 0.0000 x4  6 F 1.93-2.02
F 0.0000 0.4352 0.2500 x4  2 Os 2.02
F 0.0495 0.2544 0.9818 x8  1 Os 1.97
F 0.2022 0.4372 0.6039 x8  1 Os 1.93

Output
Electronic total energy, eV per atom: -4.98
Total magnetic moment, μB/f.u.: 2.00
Calculated density, g/cm³: 5.83
Crystal system: monoclinic

Record 5
A plane-wave DFT calculation with PBE-GGA was carried out for crystalline NaNpGaO5 at its relaxed geometry.

a = 7.1145 Å, b = 9.3800 Å, c = 7.9309 Å
α = 90.00°, β = 115.48°, γ = 90.00°
With the nearest neighbours (Å) after each atom.
Space group C2/c (No. 15)
Asymmetric unit:
Na 0.0000 0.1688 0.2500 x4  5 O 2.39-2.58
Np 0.0000 0.5000 0.0000 x4  6 O 2.04-2.11
Ga 0.0000 0.1870 0.7500 x4  4 O 1.86
O 0.0000 0.4239 0.2500 x4  2 Np 2.11
O 0.1028 0.3003 0.6167 x8  1 Ga 1.86, 1 Np 2.08
O 0.1966 0.0601 0.9101 x8  1 Ga 1.86, 1 Np 2.04

Output
Electronic total energy, eV per atom: -7.58
Total magnetic moment, μB/f.u.: 1.00
Calculated density, g/cm³: 5.70
Crystal system: monoclinic

Record 6
A plane-wave DFT calculation with PBE-GGA was carried out for crystalline ZnPtSe2Br at its relaxed geometry.

a = 4.9850 Å, b = 4.9850 Å, c = 5.1873 Å
α = 90.00°, β = 90.00°, γ = 90.00°
With the nearest neighbours (Å) after each atom.
Space group P4/mmm (No. 123)
Asymmetric unit:
Zn 0.0000 0.0000 0.0000 x1  4 Br 3.52, 8 Se 3.60
Pt 0.5000 0.5000 0.5000 x1  4 Se 2.49, 2 Br 2.59
Se 0.0000 0.5000 0.5000 x2  2 Pt 2.49
Br 0.5000 0.5000 0.0000 x1  2 Pt 2.59

Output
Electronic total energy, eV per atom: -2.83
Total magnetic moment, μB/f.u.: 0.00
Calculated density, g/cm³: 6.42
Crystal system: tetragonal

Record 7
A plane-wave DFT calculation with PBE-GGA was carried out for crystalline LiPuTh2Se5 at its relaxed geometry.

a = 4.1141 Å, b = 17.2523 Å, c = 12.4530 Å
α = 90.00°, β = 90.00°, γ = 90.00°
With the nearest neighbours (Å) after each atom.
Space group Cmc2_1 (No. 36)
Asymmetric unit:
Li 0.0000 0.0094 0.0000 x4  4 Se 2.42-2.58
Pu 0.0000 0.3079 0.5114 x4  6 Se 2.83-2.90
Th 0.0000 0.3733 0.8131 x4  8 Se 3.01-3.21
Th 0.0000 0.3840 0.1932 x4  8 Se 2.95-3.16
Se 0.0000 0.0020 0.8036 x4  1 Li 2.45
Se 0.0000 0.1401 0.5102 x4  1 Li 2.58
Se 0.0000 0.1924 0.8486 x4  2 Pu 2.89, 3 Th 3.12-3.15
Se 0.0000 0.2060 0.1748 x4  2 Pu 2.90, 3 Th 3.01-3.08
Se 0.0000 0.4611 0.5932 x4  2 Li 2.42

Output
Electronic total energy, eV per atom: -6.91
Total magnetic moment, μB/f.u.: 6.05
Calculated density, g/cm³: 8.34
Crystal system: orthorhombic

Record 8
A plane-wave DFT calculation with PBE-GGA was carried out for crystalline AcAgO3 at its relaxed geometry.

a = 3.8766 Å, b = 6.0459 Å, c = 7.1851 Å
α = 90.00°, β = 98.32°, γ = 90.00°
With the nearest neighbours (Å) after each atom.
Space group P2_1/m (No. 11)
Asymmetric unit:
Ac 0.1734 0.2500 0.3605 x2  6 O 2.49-2.58
Ag 0.4486 0.7500 0.1313 x2  3 O 2.14-2.21
O 0.2633 0.7500 0.4076 x2  1 Ag 2.21
O 0.3914 0.5869 0.8238 x4  1 O 1.97, 1 Ag 2.14

Output
Electronic total energy, eV per atom: -5.83
Total magnetic moment, μB/f.u.: 0.00
Calculated density, g/cm³: 7.63
Crystal system: monoclinic

Record 9
A plane-wave DFT calculation with PBE-GGA was carried out for crystalline NaPr2Sm3S6 at its relaxed geometry.

a = 7.0022 Å, b = 12.1527 Å, c = 7.0257 Å
α = 90.00°, β = 109.55°, γ = 90.00°
With the nearest neighbours (Å) after each atom.
Space group C2/m (No. 12)
Asymmetric unit:
Na 0.0000 0.0000 0.0000 x2  6 S 2.84-2.87
Pr 0.0000 0.3340 0.0000 x4  6 S 2.88-2.90
Sm 0.0000 0.1646 0.5000 x4  6 S 2.82-2.88
Sm 0.0000 0.5000 0.5000 x2  6 S 2.83-2.89
S 0.2438 0.0000 0.7475 x4  3 Sm 2.82-2.89, 1 Na 2.84, 2 Pr 2.88
S 0.2503 0.1649 0.2570 x8  3 Sm 2.83-2.88, 1 Na 2.87, 2 Pr 2.90

Output
Electronic total energy, eV per atom: -6.10
Total magnetic moment, μB/f.u.: 0.00
Calculated density, g/cm³: 5.59
Crystal system: monoclinic

Record 10
A plane-wave DFT calculation with PBE-GGA was carried out for crystalline Al3BW at its relaxed geometry.

a = 4.1494 Å, b = 4.1494 Å, c = 4.1494 Å
α = 90.00°, β = 90.00°, γ = 90.00°
With the nearest neighbours (Å) after each atom.
Space group Pm-3m (No. 221)
Asymmetric unit:
Al 0.0000 0.0000 0.5000 x3  2 B 2.07
B 0.0000 0.0000 0.0000 x1  6 Al 2.07
W 0.5000 0.5000 0.5000 x1  12 Al 2.93

Output
Electronic total energy, eV per atom: -5.47
Total magnetic moment, μB/f.u.: 0.00
Energy of formation from the pure elements, eV/f.u.: 3.50
Calculated density, g/cm³: 6.41
Crystal system: cubic

Record 11
A plane-wave DFT calculation with PBE-GGA was carried out for crystalline AlFe2Ru at its relaxed geometry.

a = 2.6235 Å, b = 4.0585 Å, c = 4.9329 Å
α = 90.00°, β = 101.03°, γ = 90.00°
With the nearest neighbours (Å) after each atom.
Space group Pm (No. 6)
Asymmetric unit:
Al 0.0000 0.0000 0.0000 x1  4 Fe 2.54-2.59, 4 Ru 2.60-2.83, 2 Al 2.62
Fe 0.5535 0.0000 0.4842 x1  4 Fe 2.43-2.62, 2 Al 2.55-2.59, 2 Ru 2.55
Fe 0.7482 0.5000 0.2542 x1  4 Fe 2.43-2.62, 2 Ru 2.53-2.61, 2 Al 2.54
Ru 0.3196 0.5000 0.7493 x1  4 Fe 2.53-2.61, 4 Al 2.60-2.83, 2 Ru 2.62

Output
Electronic total energy, eV per atom: -7.58
Total magnetic moment, μB/f.u.: 5.04
Energy of formation from the pure elements, eV/f.u.: -0.39
Calculated density, g/cm³: 7.72
Crystal system: monoclinic

Record 12
A plane-wave DFT calculation with PBE-GGA was carried out for crystalline HoPaGaTc at its relaxed geometry.

a = 6.9844 Å, b = 6.9844 Å, c = 6.9844 Å
α = 90.00°, β = 90.00°, γ = 90.00°
With the nearest neighbours (Å) after each atom.
Space group F-43m (No. 216)
Asymmetric unit:
Ho 0.0000 0.0000 0.0000 x4  4 Tc 3.02, 4 Ga 3.02
Pa 0.0000 0.0000 0.5000 x4  4 Tc 3.02, 4 Ga 3.02
Ga 0.2500 0.2500 0.2500 x4  4 Ho 3.02, 4 Pa 3.02
Tc 0.2500 0.2500 0.7500 x4  4 Ho 3.02, 4 Pa 3.02

Output
Electronic total energy, eV per atom: -7.05
Total magnetic moment, μB/f.u.: 0.00
Energy of formation from the pure elements, eV/f.u.: -0.72
Calculated density, g/cm³: 10.99
Crystal system: cubic